This record from the Alexandria database describes a geometry-optimized Pr2NdYEr structure. The functional is PBE.

The calculated formation energy is 0.41 eV/atom. The space group is No. 63. As for the theoretical density: 6.2 g cm⁻³. The value obtained for the spin magnetization is 0.000 Bohr magnetons per cell.

Cell: 7.3486 8.5140 7.2470 Å, 125.97 90.00 90.00°
With the nearest neighbours (Å) after each atom.
Element x y z (fractional)
Y  0.2500  0.9908  0.9815  1 Nd 3.12, 4 Pr 3.21, 1 Er 3.24
Y  0.7500  0.0092  0.0185  1 Nd 3.12, 4 Pr 3.21, 1 Er 3.24
Nd  0.2500  0.7246  0.4493  1 Y 3.12
Nd  0.7500  0.2754  0.5507  1 Y 3.12
Pr  0.0000  0.3084  0.0000  2 Y 3.21, 1 Pr 3.26
Pr  0.0000  0.6916  0.0000  2 Y 3.21, 1 Pr 3.26
Pr  0.5000  0.6916  0.0000  2 Y 3.21, 1 Pr 3.26
Pr  0.5000  0.3084  0.0000  2 Y 3.21, 1 Pr 3.26
Er  0.2500  0.2673  0.5346  1 Y 3.24
Er  0.7500  0.7327  0.4654  1 Y 3.24